# TaSiTc2As | Alexandria via LeMat-Bulk | PBE | relaxed
data_TaSiTc2As
_cell_length_a 4.825
_cell_length_b 4.825
_cell_length_c 4.853
_cell_angle_alpha 90.00
_cell_angle_beta 90.00
_cell_angle_gamma 90.00
_space_group_name_H-M_alt 'P 1'
_space_group_IT_number 1
_space_group_name_Hall 'P 1'
loop_
_atom_site_label
_atom_site_type_symbol
_atom_site_fract_x
_atom_site_fract_y
_atom_site_fract_z
Ta1 Ta 0.000 0.000 0.000
Si1 Si 0.500 0.500 0.500
Tc1 Tc 0.000 0.500 0.000
Tc2 Tc 0.500 0.000 0.000
As1 As 0.000 0.000 0.500
# **ΔE_f (raw)**: 1626 meV/atom
# **Symmetry**: P4/mmm (123)
# **Crystal system**: tetragonal



# La2Cu | Alexandria via LeMat-Bulk | PBE | relaxed
data_La2Cu
_cell_length_a 4.855
_cell_length_b 4.855
_cell_length_c 3.944
_cell_angle_alpha 90.00
_cell_angle_beta 90.00
_cell_angle_gamma 120.00
_space_group_name_H-M_alt 'P 1'
_space_group_IT_number 1
_space_group_name_Hall 'P 1'
loop_
_atom_site_label
_atom_site_type_symbol
_atom_site_fract_x
_atom_site_fract_y
_atom_site_fract_z
La1 La 0.333 0.667 0.310
La2 La 0.667 0.333 0.690
Cu1 Cu 0.000 0.000 0.000
# **Symmetry**: P-3m1 (164)
# **ΔE_f**: 0.008 eV/atom
# **Crystal system**: trigonal